Entry 1:
DFT (PBE) results for KS4Br after structural relaxation.

Cell lengths 9.4842, 6.0241, 8.0685 Å; angles 90.00, 114.92, 90.00 degrees
Last column: nearest neighbours and their distance in Å.
Space group Cm (No. 8)
Inequivalent atoms, fractional coordinates:
K: 0.0000 0.0000 0.0000  3 Br 3.23-3.40, 1 S 3.47
S: 0.0367 0.2461 0.4421  2 S 2.06-2.10
S: 0.1152 0.0000 0.6447  2 S 2.10
S: 0.1871 0.5000 0.4556  2 S 2.06
Br: 0.1432 0.5000 0.9496  3 K 3.23-3.40

Formation energy from raw total energies ... -2.35 eV/f.u.

Entry 2:
DFT (PBE) results for CsNb3O after structural relaxation.

Cell lengths 4.4910, 4.4910, 4.4910 Å; angles 90.00, 90.00, 90.00 degrees
Last column: nearest neighbours and their distance in Å.
Space group Pm-3m (No. 221)
Inequivalent atoms, fractional coordinates:
Cs: 0.0000 0.0000 0.0000  12 Nb 3.18
Nb: 0.0000 0.5000 0.5000  2 O 2.25
O: 0.5000 0.5000 0.5000  6 Nb 2.25

Polymorph energy (0 for the lowest one) ... 0.000 eV per atom
Formation energy from raw total energies ... 3.11 eV/f.u.

Entry 3:
DFT (PBE) results for P2C after structural relaxation.

Cell lengths 3.1521, 2.7624, 6.5526 Å; angles 90.00, 103.66, 90.00 degrees
Last column: nearest neighbours and their distance in Å.
Space group Pm (No. 6)
Inequivalent atoms, fractional coordinates:
P: 0.0000 0.0000 0.0000  2 C 1.75
P: 0.2156 0.5000 0.4402  1 C 1.73
C: 0.0829 0.5000 0.1692  3 P 1.73-1.75

E_form ... 55.3 kJ per mole of atoms
Polymorph energy (0 for the lowest one) ... 0.143 eV per atom

Entry 4:
DFT (PBE) results for IrPdO2 after structural relaxation.

Cell lengths 3.1347, 3.1347, 17.9675 Å; angles 90.00, 90.00, 120.00 degrees
Last column: nearest neighbours and their distance in Å.
Space group R-3m (No. 166, hexagonal axes)
Inequivalent atoms, fractional coordinates:
Ir: 0.0000 0.0000 0.0000  6 O 2.05
Pd: 0.0000 0.0000 0.5000  2 O 2.03
O: 0.0000 0.0000 0.3872  1 Pd 2.03, 3 Ir 2.05

Polymorph energy (0 for the lowest one) ... 0.000 eV per atom
Formation energy from raw total energies ... -1.34 eV/f.u.

Entry 5:
DFT (PBE) results for NaYHf after structural relaxation.

Cell lengths 3.3924, 3.3926, 17.4360 Å; angles 90.04, 90.15, 119.99 degrees
Last column: nearest neighbours and their distance in Å.
Space group P1 (No. 1)
Inequivalent atoms, fractional coordinates:
Na: 0.0000 0.0000 0.0000  6 Na 3.39, 1 Y 3.79
Na: 0.3152 0.6465 0.1894  6 Na 3.39, 2 Y 3.79-3.80
Y: 0.3294 0.6581 0.8131  3 Hf 3.26, 6 Y 3.39
Y: 0.9851 0.9842 0.3760  3 Hf 3.26, 6 Y 3.39
Hf: 0.3221 0.6532 0.5254  9 Hf 3.10-3.39, 3 Y 3.26
Hf: 0.9926 0.9890 0.6637  9 Hf 3.10-3.39, 3 Y 3.26

E_form ... 12.5 kJ per mole of atoms
Polymorph energy (0 for the lowest one) ... 0.011 eV per atom

Entry 6:
DFT (PBE) results for Al8Pt after structural relaxation.

Cell lengths 8.4605, 8.4605, 4.0057 Å; angles 90.00, 90.00, 90.00 degrees
Last column: nearest neighbours and their distance in Å.
Space group I4/mmm (No. 139)
Inequivalent atoms, fractional coordinates:
Al: 0.0000 0.3288 0.0000  1 Pt 2.78, 11 Al 2.81-2.90
Al: 0.1618 0.1618 0.5000  10 Al 2.74-2.91, 2 Pt 2.79
Pt: 0.0000 0.0000 0.0000  12 Al 2.78-2.79

E_form ... -21.7 kJ per mole of atoms

Entry 7:
DFT (PBE) results for CsAgBr3 after structural relaxation.

Cell lengths 4.1244, 6.8595, 18.0654 Å; angles 90.00, 90.00, 90.00 degrees
Last column: nearest neighbours and their distance in Å.
Space group Amm2 (No. 38)
Inequivalent atoms, fractional coordinates:
Cs: 0.0000 0.0000 0.0000  4 Br 3.34-3.62
Ag: 0.5000 0.0000 0.6984  5 Br 2.72-2.82
Br: 0.0000 0.2479 0.1770  2 Ag 2.72
Br: 0.5000 0.0000 0.8543  1 Ag 2.82

Formation energy from raw total energies ... -3.41 eV/f.u.

Entry 8:
DFT (PBE) results for Y2Ti2Au after structural relaxation.

Cell lengths 3.6564, 3.6564, 17.9728 Å; angles 90.00, 90.00, 90.00 degrees
Last column: nearest neighbours and their distance in Å.
Space group I4/mmm (No. 139)
Inequivalent atoms, fractional coordinates:
Y: 0.0000 0.0000 0.0981  4 Au 3.13, 4 Ti 3.28
Ti: 0.0000 0.5000 0.2500  4 Ti 2.59
Au: 0.0000 0.0000 0.5000  8 Y 3.13

E_form ... 1.7 kJ per mole of atoms
Polymorph energy (0 for the lowest one) ... 0.084 eV per atom

Entry 9:
DFT (PBE) results for BaSiP6Ir2 after structural relaxation.

Cell lengths 5.2629, 5.2629, 27.8167 Å; angles 90.00, 90.00, 120.00 degrees
Last column: nearest neighbours and their distance in Å.
Space group R-3 (No. 148, hexagonal axes)
Inequivalent atoms, fractional coordinates:
Ba: 0.0000 0.0000 0.0000  6 P 3.41, 6 Ir 3.82
Si: 0.0000 0.0000 0.5000  6 P 2.43
P: 0.0243 0.2694 0.1125  1 Ir 2.23, 2 P 2.35, 1 Si 2.43
Ir: 0.0000 0.0000 0.2503  3 P 2.23

Formation energy from raw total energies ... 0.81 eV/f.u.

Entry 10:
DFT (PBE) results for CsCuHg2Pb after structural relaxation.

Cell lengths 5.5159, 5.5159, 5.2796 Å; angles 90.00, 90.00, 90.00 degrees
Last column: nearest neighbours and their distance in Å.
Space group P4/mmm (No. 123)
Inequivalent atoms, fractional coordinates:
Cs: 0.0000 0.0000 0.0000  8 Hg 3.82, 4 Pb 3.90
Cu: 0.5000 0.5000 0.5000  2 Pb 2.64, 4 Hg 2.76
Hg: 0.0000 0.5000 0.5000  2 Cu 2.76
Pb: 0.5000 0.5000 0.0000  2 Cu 2.64

E_form ... 3.2 kJ per mole of atoms

Entry 11:
DFT (PBE) results for Ta2PtAu after structural relaxation.

Cell lengths 9.6849, 2.8833, 5.0361 Å; angles 90.00, 100.06, 90.00 degrees
Last column: nearest neighbours and their distance in Å.
Space group C2/m (No. 12)
Inequivalent atoms, fractional coordinates:
Ta: 0.2469 0.0000 0.2433  6 Ta 2.85-2.95, 3 Pt 2.88-2.93, 3 Au 2.91-2.94
Pt: 0.0000 0.5000 0.0000  6 Ta 2.88-2.93, 2 Pt 2.88, 4 Au 2.90
Au: 0.0000 0.0000 0.5000  2 Au 2.88, 4 Pt 2.90, 6 Ta 2.91-2.94

E_form ... -12.7 kJ per mole of atoms

Entry 12:
DFT (PBE) results for Ac2GaIr3 after structural relaxation.

Cell lengths 4.3491, 4.4511, 7.5841 Å; angles 90.00, 90.00, 90.00 degrees
Last column: nearest neighbours and their distance in Å.
Space group Pmm2 (No. 25)
Inequivalent atoms, fractional coordinates:
Ac: 0.0000 0.0000 0.0000  10 Ir 3.33-3.39, 2 Ga 3.43
Ac: 0.5000 0.0000 0.4775  8 Ir 3.30-3.44, 4 Ga 3.39
Ga: 0.0000 0.5000 0.6560  3 Ir 2.50-2.52
Ir: 0.0000 0.5000 0.3259  1 Ga 2.50, 2 Ir 2.53
Ir: 0.5000 0.5000 0.1563  3 Ir 2.52-2.53
Ir: 0.5000 0.5000 0.8236  2 Ga 2.52, 1 Ir 2.52

E_form ... -57.1 kJ per mole of atoms
Polymorph energy (0 for the lowest one) ... 0.000 eV per atom

| no. | E_tot (eV/atom) |
| --- | --- |
| 1 | -3.61 |
| 2 | -6.58 |
| 3 | -6.11 |
| 4 | -6.33 |
| 5 | -5.78 |
| 6 | -4.22 |
| 7 | -2.43 |
| 8 | -6.38 |
| 9 | -5.67 |
| 10 | -1.82 |
| 11 | -8.39 |
| 12 | -6.90 |